1.
First-principles (PBE) data for a geometry-optimized Re2Bi2O5 structure, as listed in OQMD.

Computed properties:
Size of the total moment in μB per formula unit: 3.9
Offset from the most stable computed form in meV per atom: 359

Cell: 3.431 3.431 10.475 Å, 90.00 90.00 90.00°
Positions (direct):
Re1 0.000 0.000 0.000
Re2 0.000 0.000 0.500
Bi1 0.500 0.500 0.233
Bi2 0.500 0.500 0.767
O1 0.000 0.500 0.388
O2 0.000 0.500 0.612
O3 0.500 0.000 0.388
O4 0.500 0.000 0.612
O5 0.500 0.500 0.000

2.
First-principles (PBE) data for a geometry-optimized RbYFe structure, as listed in OQMD.

Computed properties:
Size of the total moment in μB per formula unit: 1.8
Offset from the most stable computed form in meV per atom: 510

Cell: 5.120 5.120 5.120 Å, 60.00 60.00 60.00°
Positions (direct):
Rb1 0.000 0.000 0.000
Y1 0.250 0.250 0.250
Fe1 0.750 0.750 0.750

3.
First-principles (PBE) data for a geometry-optimized NdAsPdO structure, as listed in OQMD.

Computed properties:
Size of the total moment in μB per formula unit: 0.0
E in eV per atom: -6.34

Cell: 4.624 4.280 7.236 Å, 90.00 90.00 90.00°
Positions (direct):
Nd1 0.000 0.232 0.000
Nd2 0.000 0.768 0.500
As1 0.500 0.225 0.675
As2 0.500 0.775 0.175
Pd1 0.500 0.278 0.339
Pd2 0.500 0.722 0.839
O1 0.000 0.271 0.336
O2 0.000 0.729 0.836

4.
First-principles (PBE) data for a geometry-optimized PmNi3C structure, as listed in OQMD.

Computed properties:
Size of the total moment in μB per formula unit: 0.4
E in eV per atom: -6.22

Cell: 4.026 4.026 4.026 Å, 90.00 90.00 90.00°
Positions (direct):
Pm1 0.000 0.000 0.000
Ni1 0.000 0.500 0.500
Ni2 0.500 0.000 0.500
Ni3 0.500 0.500 0.000
C1 0.500 0.500 0.500

5.
First-principles (PBE) data for a geometry-optimized HfCuNiAs structure, as listed in OQMD.

Computed properties:
Size of the total moment in μB per formula unit: 0.0
Offset from the most stable computed form in meV per atom: 58

Cell: 4.390 4.390 4.390 Å, 60.00 60.00 60.00°
Positions (direct):
Hf1 0.000 0.000 0.000
Cu1 0.750 0.750 0.750
Ni1 0.250 0.250 0.250
As1 0.500 0.500 0.500

6.
First-principles (PBE) data for a geometry-optimized Nd3Sm3CoTe2 structure, as listed in OQMD.

Computed properties:
Size of the total moment in μB per formula unit: 0.1
Offset from the most stable computed form in meV per atom: 0

Cell: 8.604 8.604 3.985 Å, 90.00 90.00 120.00°
Positions (direct):
Nd1 0.000 0.590 0.000
Nd2 0.410 0.410 0.000
Nd3 0.590 0.000 0.000
Sm1 0.000 0.235 0.500
Sm2 0.235 0.000 0.500
Sm3 0.765 0.765 0.500
Co1 0.000 0.000 0.000
Te1 0.333 0.667 0.500
Te2 0.667 0.333 0.500

7.
First-principles (PBE) data for a geometry-optimized RbPmTa structure, as listed in OQMD.

Computed properties:
Size of the total moment in μB per formula unit: 4.9
E in eV per atom: -3.85

Cell: 5.495 5.495 5.495 Å, 60.00 60.00 60.00°
Positions (direct):
Rb1 0.000 0.000 0.000
Pm1 0.250 0.250 0.250
Ta1 0.500 0.500 0.500

8.
First-principles (PBE) data for a geometry-optimized YCdCoBi structure, as listed in OQMD.

Computed properties:
Size of the total moment in μB per formula unit: 1.0
Offset from the most stable computed form in meV per atom: 0

Cell: 5.006 5.006 5.006 Å, 60.00 60.00 60.00°
Positions (direct):
Y1 0.000 0.000 0.000
Cd1 0.750 0.750 0.750
Co1 0.500 0.500 0.500
Bi1 0.250 0.250 0.250

9.
First-principles (PBE) data for a geometry-optimized GdCuHgS3 structure, as listed in OQMD.

Computed properties:
Size of the total moment in μB per formula unit: 0.0
E in eV per atom: -4.32

Cell: 6.489 6.489 10.513 Å, 90.00 90.00 145.39°
Positions (direct):
Gd1 0.000 0.000 0.000
Gd2 0.000 0.000 0.500
Cu1 0.473 0.527 0.750
Cu2 0.527 0.473 0.250
Hg1 0.244 0.756 0.250
Hg2 0.756 0.244 0.750
S1 0.092 0.908 0.750
S2 0.358 0.642 0.579
S3 0.358 0.642 0.921
S4 0.642 0.358 0.079
S5 0.642 0.358 0.421
S6 0.908 0.092 0.250

10.
First-principles (PBE) data for a geometry-optimized GaFeTc structure, as listed in OQMD.

Computed properties:
Size of the total moment in μB per formula unit: 0.0
E in eV per atom: -6.83

Cell: 4.035 4.035 4.035 Å, 60.00 60.00 60.00°
Positions (direct):
Ga1 0.000 0.000 0.000
Fe1 0.500 0.500 0.500
Tc1 0.750 0.750 0.750

11.
First-principles (PBE) data for a geometry-optimized GdMgZn structure, as listed in OQMD.

Computed properties:
Size of the total moment in μB per formula unit: 0.0
E in eV per atom: -2.34

Cell: 5.031 5.031 10.263 Å, 90.00 90.00 120.00°
Positions (direct):
Gd1 0.000 0.000 0.000
Gd2 0.333 0.667 0.176
Gd3 0.333 0.667 0.824
Mg1 0.333 0.667 0.500
Mg2 0.667 0.333 0.243
Mg3 0.667 0.333 0.757
Zn1 0.000 0.000 0.302
Zn2 0.000 0.000 0.698
Zn3 0.667 0.333 0.500

12.
First-principles (PBE) data for a geometry-optimized MgTaGa structure, as listed in OQMD.

Computed properties:
Size of the total moment in μB per formula unit: 0.0
E in eV per atom: -4.68

Cell: 4.502 4.502 4.502 Å, 60.00 60.00 60.00°
Positions (direct):
Mg1 0.000 0.000 0.000
Ta1 0.750 0.750 0.750
Ga1 0.500 0.500 0.500